Entry 1:
# SCAN KErP2O7, PBEsol geometry
data_KErP2O7
_symmetry_space_group_name_H-M 'P 1 21/c 1'
_symmetry_Int_Tables_number 14
_symmetry_space_group_name_Hall '-P 2ybc'
_cell_length_a 7.5882
_cell_length_b 10.8689
_cell_length_c 8.6045
_cell_angle_alpha 90.00
_cell_angle_beta 107.64
_cell_angle_gamma 90.00
loop_
_atom_site_label
_atom_site_fract_x
_atom_site_fract_y
_atom_site_fract_z
K1 0.1695 0.1805 0.0726
Er1 0.2330 0.5960 0.2533
P1 0.1299 0.6021 0.8131
P2 0.4442 0.6431 0.6941
O1 0.0112 0.0003 0.2105
O2 0.0703 0.7290 0.7372
O3 0.1339 0.5972 0.9897
O4 0.3303 0.6154 0.5193
O5 0.3388 0.5758 0.8102
O6 0.3649 0.0838 0.7585
O7 0.4592 0.7205 0.2395
# * total magnetization: 0.0 Bohr magnetons per cell
# * ΔE_f (raw): -2.98 eV per atom

---

Entry 2:
# SCAN K2Er2P3O12, PBEsol geometry
data_K2Er2P3O12
_symmetry_space_group_name_H-M 'P 21 3'
_symmetry_Int_Tables_number 198
_symmetry_space_group_name_Hall 'P 2ac 2ab 3'
_cell_length_a 10.5453
_cell_length_b 10.5453
_cell_length_c 10.5453
_cell_angle_alpha 90.00
_cell_angle_beta 90.00
_cell_angle_gamma 90.00
loop_
_atom_site_label
_atom_site_fract_x
_atom_site_fract_y
_atom_site_fract_z
K1 0.0570 0.0570 0.0570
K2 0.1821 0.3179 0.6821
Er1 0.1007 0.8993 0.3993
Er2 0.1667 0.6667 0.8333
P1 0.0160 0.2173 0.3746
O1 0.0063 0.0682 0.7219
O2 0.0232 0.0801 0.3239
O3 0.0468 0.8045 0.2242
O4 0.0931 0.8499 0.7654
# * total magnetization: 4.5 Bohr magnetons per cell
# * ΔE_f (raw): -2.93 eV per atom

---

Entry 3:
# SCAN K3ErS3O12, PBEsol geometry
data_K3ErS3O12
_symmetry_space_group_name_H-M 'P 1 c 1'
_symmetry_Int_Tables_number 7
_symmetry_space_group_name_Hall 'P -2yc'
_cell_length_a 9.1647
_cell_length_b 14.6537
_cell_length_c 8.9503
_cell_angle_alpha 90.00
_cell_angle_beta 110.83
_cell_angle_gamma 90.00
loop_
_atom_site_label
_atom_site_fract_x
_atom_site_fract_y
_atom_site_fract_z
K1 0.0000 0.0121 0.0000
K2 0.1134 0.4420 0.2161
K3 0.1648 0.2629 0.9227
K4 0.5160 0.4866 0.0094
K5 0.6192 0.0753 0.1745
K6 0.6390 0.2627 0.8843
Er1 0.3389 0.1444 0.4285
Er2 0.8453 0.3246 0.4680
S1 0.0050 0.1926 0.2519
S2 0.2612 0.3462 0.6252
S3 0.3548 0.0461 0.8051
S4 0.5065 0.3098 0.2653
S5 0.7613 0.1562 0.6116
S6 0.8371 0.4486 0.8141
O1 0.0729 0.1425 0.4064
O2 0.0996 0.3204 0.6166
O3 0.1393 0.2006 0.1936
O4 0.2125 0.0028 0.3079
O5 0.2562 0.4313 0.5371
O6 0.3243 0.2705 0.5538
O7 0.3401 0.0590 0.6361
O8 0.3577 0.3554 0.7959
O9 0.3785 0.3706 0.1753
O10 0.3821 0.1325 0.8925
O11 0.4464 0.2153 0.2688
O12 0.4858 0.0199 0.3820
O13 0.5861 0.3435 0.4332
O14 0.5968 0.1568 0.6058
O15 0.6326 0.3065 0.1961
O16 0.6745 0.4355 0.8038
O17 0.7695 0.1678 0.4481
O18 0.8380 0.0713 0.6870
O19 0.8428 0.2391 0.7006
O20 0.8493 0.4349 0.6528
O21 0.8741 0.1441 0.1339
O22 0.8849 0.4544 0.3580
O23 0.9446 0.3868 0.9313
O24 0.9554 0.2849 0.2824
# * total magnetization: 0.6 Bohr magnetons per cell
# * ΔE_f (raw): -2.28 eV per atom

---

Entry 4:
# SCAN KErW2O8, PBEsol geometry
data_KErW2O8
_symmetry_space_group_name_H-M 'C 1 2/c 1'
_symmetry_Int_Tables_number 15
_symmetry_space_group_name_Hall '-C 2yc'
_cell_length_a 10.6157
_cell_length_b 10.3300
_cell_length_c 7.4370
_cell_angle_alpha 90.00
_cell_angle_beta 130.72
_cell_angle_gamma 90.00
loop_
_atom_site_label
_atom_site_fract_x
_atom_site_fract_y
_atom_site_fract_z
K1 0.0000 0.2042 0.2500
Er1 0.0000 0.2282 0.7500
W1 0.1980 0.4985 0.7330
O1 0.0216 0.3901 0.9691
O2 0.1248 0.0858 0.6865
O3 0.1923 0.4273 0.4487
O4 0.2207 0.1590 0.1211
# * total magnetization: 0.0 Bohr magnetons per cell
# * ΔE_f (raw): -2.75 eV per atom

---

Entry 5:
# SCAN K3Er7S12, PBEsol geometry
data_K3Er7S12
_symmetry_space_group_name_H-M 'P m n 21'
_symmetry_Int_Tables_number 31
_symmetry_space_group_name_Hall 'P 2ac -2'
_cell_length_a 3.8934
_cell_length_b 11.7097
_cell_length_c 24.3209
_cell_angle_alpha 90.00
_cell_angle_beta 90.00
_cell_angle_gamma 90.00
loop_
_atom_site_label
_atom_site_fract_x
_atom_site_fract_y
_atom_site_fract_z
K1 0.0000 0.0491 0.0000
K2 0.0000 0.3082 0.3420
K3 0.0000 0.4453 0.7303
Er1 0.0000 0.1449 0.6578
Er2 0.0000 0.2567 0.8684
Er3 0.0000 0.3545 0.0810
Er4 0.0000 0.5204 0.4512
Er5 0.0000 0.6915 0.0479
Er6 0.0000 0.8138 0.6895
Er7 0.0000 0.9758 0.2910
S1 0.0000 0.0182 0.1772
S2 0.0000 0.1559 0.5477
S3 0.0000 0.1748 0.7668
S4 0.0000 0.3277 0.9722
S5 0.0000 0.3412 0.1931
S6 0.0000 0.4801 0.5632
S7 0.0000 0.5870 0.3467
S8 0.0000 0.6349 0.9424
S9 0.0000 0.7044 0.1566
S10 0.0000 0.7962 0.5814
S11 0.0000 0.8685 0.7957
S12 0.0000 0.8941 0.3913
# * total magnetization: 0.0 Bohr magnetons per cell
# * ΔE_f (raw): -2.25 eV per atom

---

Entry 6:
# SCAN KErTe2, PBEsol geometry
data_KErTe2
_symmetry_space_group_name_H-M 'R -3 m'
_symmetry_Int_Tables_number 166
_symmetry_space_group_name_Hall '-R 3 2"'
_cell_length_a 4.3848
_cell_length_b 4.3848
_cell_length_c 24.3151
_cell_angle_alpha 90.00
_cell_angle_beta 90.00
_cell_angle_gamma 120.00
loop_
_atom_site_label
_atom_site_fract_x
_atom_site_fract_y
_atom_site_fract_z
K1 0.0000 0.0000 0.0000
Er1 0.0000 0.0000 0.5000
Te1 0.0000 0.0000 0.2362
# * total magnetization: 0.0 Bohr magnetons per cell
# * ΔE_f (raw): -1.54 eV per atom

---

Per-record final energy, eV/atom: -14.166, -14.680, -11.702, -23.408, -24.652, -34.832